Record 1
! PuTiMnTc (PBE, relaxed); values from VASP
&SYSTEM
  ibrav = 0, nat = 4, ntyp = 4
/
ATOMIC_SPECIES
Mn 54.94 Mn.upf
Tc 98.00 Tc.upf
Pu 244.00 Pu.upf
Ti 47.87 Ti.upf
ATOMIC_POSITIONS crystal
Mn 0.750 0.750 0.750
Tc 0.250 0.250 0.250
Pu 0.500 0.500 0.500
Ti 0.000 0.000 0.000
CELL_PARAMETERS angstrom
-3.837 -1.702 -1.678
-0.353 -0.842 -4.427
-0.119 -4.267 -1.487
! - ΔE_f (eV per atom) = -0.095
! - total magnetization (μB per atom) = 0.703
! - total DFT energy (no corrections) (eV per atom) = -10.536
! - DOS at the Fermi energy (states/eV/cell) = 5.214

Record 2
! PuMnVTc (PBE, relaxed); values from VASP
&SYSTEM
  ibrav = 0, nat = 4, ntyp = 4
/
ATOMIC_SPECIES
Pu 244.00 Pu.upf
V 50.94 V.upf
Mn 54.94 Mn.upf
Tc 98.00 Tc.upf
ATOMIC_POSITIONS crystal
Pu 0.250 0.250 0.250
V 0.750 0.750 0.750
Mn 0.500 0.500 0.500
Tc 0.000 0.000 0.000
CELL_PARAMETERS angstrom
-3.334 -2.589 1.462
0.273 -1.937 4.016
-2.617 1.401 3.338
! - ΔE_f (eV per atom) = 0.086
! - total magnetization (μB per atom) = 0.885
! - total DFT energy (no corrections) (eV per atom) = -10.660
! - DOS at the Fermi energy (states/eV/cell) = 5.907

Record 3
! PuMnTcW (PBE, relaxed); values from VASP
&SYSTEM
  ibrav = 0, nat = 4, ntyp = 4
/
ATOMIC_SPECIES
W 183.84 W.upf
Pu 244.00 Pu.upf
Mn 54.94 Mn.upf
Tc 98.00 Tc.upf
ATOMIC_POSITIONS crystal
W 0.250 0.250 0.250
Pu 0.750 0.750 0.750
Mn 0.500 0.500 0.500
Tc 0.000 0.000 0.000
CELL_PARAMETERS angstrom
4.514 0.000 0.000
2.257 3.909 0.000
2.257 1.303 3.686
! - ΔE_f (eV per atom) = 0.229
! - total magnetization (μB per atom) = 0.821
! - total DFT energy (no corrections) (eV per atom) = -11.476
! - DOS at the Fermi energy (states/eV/cell) = 5.671

Record 4
! YPuMnTc (PBE, relaxed); values from VASP
&SYSTEM
  ibrav = 0, nat = 4, ntyp = 4
/
ATOMIC_SPECIES
Mn 54.94 Mn.upf
Pu 244.00 Pu.upf
Y 88.91 Y.upf
Tc 98.00 Tc.upf
ATOMIC_POSITIONS crystal
Mn 0.250 0.250 0.250
Pu 0.500 0.500 0.500
Y 0.000 0.000 0.000
Tc 0.750 0.750 0.750
CELL_PARAMETERS angstrom
-0.617 3.855 2.832
-1.836 -0.530 4.428
2.813 0.626 3.868
! - ΔE_f (eV per atom) = 0.105
! - total magnetization (μB per atom) = 0.392
! - total DFT energy (no corrections) (eV per atom) = -9.978
! - DOS at the Fermi energy (states/eV/cell) = 6.995

Record 5
! PuMnZnTc (PBE, relaxed); values from VASP
&SYSTEM
  ibrav = 0, nat = 4, ntyp = 4
/
ATOMIC_SPECIES
Tc 98.00 Tc.upf
Zn 65.41 Zn.upf
Mn 54.94 Mn.upf
Pu 244.00 Pu.upf
ATOMIC_POSITIONS crystal
Tc 0.250 0.250 0.250
Zn 0.000 0.000 0.000
Mn 0.750 0.750 0.750
Pu 0.500 0.500 0.500
CELL_PARAMETERS angstrom
4.484 0.000 0.000
2.242 3.883 0.000
2.242 1.294 3.661
! - ΔE_f (eV per atom) = 0.058
! - total magnetization (μB per atom) = 0.463
! - total DFT energy (no corrections) (eV per atom) = -8.728
! - DOS at the Fermi energy (states/eV/cell) = 6.047

Record 6
! PuZrMnTc (PBE, relaxed); values from VASP
&SYSTEM
  ibrav = 0, nat = 4, ntyp = 4
/
ATOMIC_SPECIES
Tc 98.00 Tc.upf
Pu 244.00 Pu.upf
Mn 54.94 Mn.upf
Zr 91.22 Zr.upf
ATOMIC_POSITIONS crystal
Tc 0.500 0.500 0.500
Pu 0.250 0.250 0.250
Mn 0.000 0.000 0.000
Zr 0.750 0.750 0.750
CELL_PARAMETERS angstrom
-4.214 -0.606 1.942
-0.347 -1.522 4.411
-1.463 2.901 3.368
! - ΔE_f (eV per atom) = -0.052
! - total magnetization (μB per atom) = 0.614
! - total DFT energy (no corrections) (eV per atom) = -10.656
! - DOS at the Fermi energy (states/eV/cell) = 4.839

Record 7
! Pu3Mn5Te12 (PBE, relaxed); values from VASP
&SYSTEM
  ibrav = 0, nat = 80, ntyp = 3
/
ATOMIC_SPECIES
Te 127.60 Te.upf
Mn 54.94 Mn.upf
Pu 244.00 Pu.upf
ATOMIC_POSITIONS crystal
Te 0.705 0.593 0.179
Te 0.205 0.526 0.612
Te 0.888 0.295 0.474
Te 0.086 0.179 0.474
Te 0.026 0.414 0.821
Te 0.295 0.407 0.821
Te 0.179 0.093 0.705
Te 0.526 0.321 0.914
Te 0.414 0.026 0.321
Te 0.907 0.821 0.795
Te 0.821 0.914 0.026
Te 0.612 0.586 0.907
Te 0.679 0.474 0.586
Te 0.474 0.795 0.888
Te 0.388 0.414 0.093
Te 0.679 0.205 0.593
Te 0.586 0.974 0.679
Te 0.705 0.112 0.026
Te 0.974 0.586 0.179
Te 0.907 0.086 0.612
Te 0.914 0.821 0.526
Te 0.388 0.974 0.795
Te 0.026 0.612 0.705
Te 0.593 0.888 0.414
Te 0.112 0.407 0.086
Te 0.526 0.205 0.112
Te 0.093 0.179 0.205
Te 0.474 0.679 0.086
Te 0.086 0.907 0.112
Te 0.112 0.705 0.526
Te 0.179 0.086 0.974
Te 0.888 0.593 0.914
Te 0.414 0.388 0.593
Te 0.321 0.795 0.407
Te 0.586 0.612 0.407
Te 0.795 0.321 0.907
Te 0.321 0.526 0.414
Te 0.795 0.474 0.388
Te 0.407 0.112 0.586
Te 0.612 0.026 0.205
Te 0.407 0.295 0.321
Te 0.093 0.914 0.388
Te 0.974 0.388 0.295
Te 0.295 0.888 0.974
Te 0.914 0.093 0.888
Te 0.593 0.705 0.679
Te 0.821 0.907 0.295
Te 0.205 0.679 0.093
Mn 0.375 0.250 0.125
Mn 0.625 0.750 0.875
Mn 0.125 0.375 0.250
Mn 0.750 0.625 0.375
Mn 0.125 0.750 0.375
Mn 0.500 0.500 0.500
Mn 0.250 0.875 0.125
Mn 0.750 0.125 0.875
Mn 0.000 0.500 0.500
Mn 0.000 0.000 0.000
Mn 0.250 0.375 0.625
Mn 0.625 0.875 0.250
Mn 0.500 0.000 0.500
Mn 0.500 0.500 0.000
Mn 0.875 0.625 0.750
Mn 0.875 0.250 0.625
Mn 0.000 0.500 0.000
Mn 0.000 0.000 0.500
Mn 0.375 0.125 0.750
Mn 0.500 0.000 0.000
Pu 0.125 0.250 0.875
Pu 0.250 0.125 0.375
Pu 0.375 0.750 0.625
Pu 0.875 0.125 0.250
Pu 0.750 0.875 0.625
Pu 0.125 0.875 0.750
Pu 0.625 0.375 0.750
Pu 0.250 0.625 0.875
Pu 0.875 0.750 0.125
Pu 0.750 0.375 0.125
Pu 0.375 0.625 0.250
Pu 0.625 0.250 0.375
CELL_PARAMETERS angstrom
-2.076 9.417 10.231
-11.814 -1.476 -7.479
3.537 -12.372 5.665
! - total magnetization (μB per atom) = 0.018
! - total DFT energy (no corrections) (eV per atom) = -6.132
! - DOS at the Fermi energy (states/eV/cell) = 233.689
! - energy relative to the elements, uncorrected (eV per formula unit) = 3.90

Record 8
! PuMnTe3 (PBE, relaxed); values from VASP
&SYSTEM
  ibrav = 0, nat = 20, ntyp = 3
/
ATOMIC_SPECIES
Te 127.60 Te.upf
Pu 244.00 Pu.upf
Mn 54.94 Mn.upf
ATOMIC_POSITIONS crystal
Te 0.750 0.925 0.086
Te 0.750 0.428 0.245
Te 0.750 0.425 0.914
Te 0.000 0.250 0.542
Te 0.250 0.072 0.245
Te 0.250 0.075 0.914
Te 0.250 0.575 0.086
Te 0.250 0.572 0.755
Te 0.750 0.928 0.755
Te 0.000 0.750 0.458
Te 0.500 0.750 0.458
Te 0.500 0.250 0.542
Pu 0.750 0.059 0.338
Pu 0.750 0.559 0.662
Pu 0.250 0.441 0.338
Pu 0.250 0.941 0.662
Mn 0.000 0.250 0.078
Mn 0.000 0.750 0.922
Mn 0.500 0.250 0.078
Mn 0.500 0.750 0.922
CELL_PARAMETERS angstrom
-3.919 4.304 -1.941
-5.922 -4.675 1.589
-0.559 4.433 10.960
! - total magnetization (μB per atom) = 1.822
! - total DFT energy (no corrections) (eV per atom) = -7.157
! - DOS at the Fermi energy (states/eV/cell) = 42.278
! - energy relative to the elements, uncorrected (eV per formula unit) = -2.86

Record 9
! PuMnTe3 (PBE, relaxed); values from VASP
&SYSTEM
  ibrav = 0, nat = 10, ntyp = 3
/
ATOMIC_SPECIES
Mn 54.94 Mn.upf
Te 127.60 Te.upf
Pu 244.00 Pu.upf
ATOMIC_POSITIONS crystal
Mn 0.750 0.147 0.663
Mn 0.250 0.853 0.337
Te 0.750 0.097 0.340
Te 0.750 0.623 0.401
Te 0.250 0.377 0.599
Te 0.750 0.268 0.960
Te 0.250 0.732 0.040
Te 0.250 0.903 0.660
Pu 0.750 0.618 0.788
Pu 0.250 0.382 0.212
CELL_PARAMETERS angstrom
4.181 0.000 0.000
0.000 7.712 0.446
0.000 -1.176 8.650
! - total magnetization (μB per atom) = 1.800
! - total DFT energy (no corrections) (eV per atom) = -7.184
! - DOS at the Fermi energy (states/eV/cell) = 21.343
! - energy relative to the elements, uncorrected (eV per formula unit) = -2.99

Record 10
! PuMnTlTe3 (PBE, relaxed); values from VASP
&SYSTEM
  ibrav = 0, nat = 12, ntyp = 4
/
ATOMIC_SPECIES
Mn 54.94 Mn.upf
Te 127.60 Te.upf
Pu 244.00 Pu.upf
Tl 204.38 Tl.upf
ATOMIC_POSITIONS crystal
Mn 0.250 0.085 0.598
Mn 0.750 0.915 0.402
Te 0.250 0.103 0.865
Te 0.750 0.897 0.135
Te 0.250 0.544 0.831
Te 0.250 0.787 0.474
Te 0.750 0.456 0.169
Te 0.750 0.213 0.526
Pu 0.750 0.327 0.853
Pu 0.250 0.673 0.147
Tl 0.250 0.206 0.222
Tl 0.750 0.794 0.778
CELL_PARAMETERS angstrom
-3.719 -2.069 1.408
3.426 -0.079 8.935
-5.223 8.687 -1.033
! - total magnetization (μB per atom) = 1.615
! - total DFT energy (no corrections) (eV per atom) = -6.427
! - DOS at the Fermi energy (states/eV/cell) = 27.949
! - energy relative to the elements, uncorrected (eV per formula unit) = -3.27

Record 11
! PuTh2Mn (PBE, relaxed); values from VASP
&SYSTEM
  ibrav = 0, nat = 4, ntyp = 3
/
ATOMIC_SPECIES
Pu 244.00 Pu.upf
Th 232.04 Th.upf
Mn 54.94 Mn.upf
ATOMIC_POSITIONS crystal
Pu 0.000 0.000 0.000
Th 0.094 0.094 0.719
Th 0.906 0.906 0.281
Mn 0.500 0.500 0.500
CELL_PARAMETERS angstrom
3.353 0.000 0.000
1.676 2.903 0.000
1.676 0.968 11.223
! - ΔE_f (eV per atom) = 0.499
! - total magnetization (μB per atom) = 0.587
! - total DFT energy (no corrections) (eV per atom) = -9.087
! - DOS at the Fermi energy (states/eV/cell) = 9.440

Record 12
! PuThMn2 (PBE, relaxed); values from VASP
&SYSTEM
  ibrav = 0, nat = 8, ntyp = 3
/
ATOMIC_SPECIES
Th 232.04 Th.upf
Mn 54.94 Mn.upf
Pu 244.00 Pu.upf
ATOMIC_POSITIONS crystal
Th 0.667 0.333 0.750
Th 0.333 0.667 0.250
Mn 0.333 0.667 0.566
Mn 0.667 0.333 0.434
Mn 0.333 0.667 0.934
Mn 0.667 0.333 0.066
Pu 0.000 0.000 0.500
Pu 0.000 0.000 0.000
CELL_PARAMETERS angstrom
-2.361 -3.424 0.968
2.821 1.516 2.824
-6.974 5.885 3.808
! - ΔE_f (eV per atom) = -0.008
! - total magnetization (μB per atom) = 0.459
! - total DFT energy (no corrections) (eV per atom) = -10.031
! - DOS at the Fermi energy (states/eV/cell) = 5.893

Look up the DOS at the Fermi energy of the fifth one. 6.047 states/eV/cell